Record 1
# ScZnCoSn | OQMD via LeMat-Bulk | GGA-PBE | optimized geometry
data_ScZnCoSn
_chemical_formula_sum 'Sc4 Zn4 Co4 Sn4'
_cell_length_a 6.417
_cell_length_b 6.417
_cell_length_c 6.417
_cell_angle_alpha 90.00
_cell_angle_beta 90.00
_cell_angle_gamma 90.00
_symmetry_space_group_name_H-M 'F -4 3 m'
_symmetry_Int_Tables_number 216
_symmetry_space_group_name_Hall 'F -4 2 3'
loop_
_atom_site_label
_atom_site_type_symbol
_atom_site_fract_x
_atom_site_fract_y
_atom_site_fract_z
_atom_site_occupancy
Sc1 Sc 0.000 0.000 0.000 1
Zn1 Zn 0.250 0.250 0.250 1
Co1 Co 0.000 0.000 0.500 1
Sn1 Sn 0.250 0.250 0.750 1
# Uncorrected energy, eV/atom: -4.875

***

Record 2
# ScZnCoSn | OQMD via LeMat-Bulk | GGA-PBE | optimized geometry
data_ScZnCoSn
_chemical_formula_sum 'Sc4 Zn4 Co4 Sn4'
_cell_length_a 6.473
_cell_length_b 6.473
_cell_length_c 6.473
_cell_angle_alpha 90.00
_cell_angle_beta 90.00
_cell_angle_gamma 90.00
_symmetry_space_group_name_H-M 'F -4 3 m'
_symmetry_Int_Tables_number 216
_symmetry_space_group_name_Hall 'F -4 2 3'
loop_
_atom_site_label
_atom_site_type_symbol
_atom_site_fract_x
_atom_site_fract_y
_atom_site_fract_z
_atom_site_occupancy
Sc1 Sc 0.000 0.000 0.000 1
Zn1 Zn 0.000 0.000 0.500 1
Co1 Co 0.250 0.250 0.750 1
Sn1 Sn 0.250 0.250 0.250 1
# Uncorrected energy, eV/atom: -4.730